Entry 1:
# Ni3SbP4O16

A PBEsol-optimized structure of Ni3SbP4O16 (SCAN, Alexandria).

Output
The value obtained for the formation energy (no corrections) is -1.93 eV/atom. The calculation puts the total DFT energy (no corrections) at -11.39 eV/atom.

a = 4.722 Å, b = 5.670 Å, c = 9.692 Å
α = 90.00°, β = 90.06°, γ = 90.00°
Space group Pm (No. 6)
Unique sites:
Ni 0.000 0.000 0.000
Ni 0.131 0.500 0.541
Ni 0.508 0.500 0.031
Sb 0.621 0.000 0.483
P 0.192 0.000 0.682
P 0.445 0.000 0.167
P 0.671 0.500 0.341
P 0.951 0.500 0.858
O 0.239 0.000 0.832
O 0.274 0.500 0.875
O 0.294 0.214 0.098
O 0.350 0.207 0.599
O 0.357 0.000 0.327
O 0.361 0.500 0.374
O 0.750 0.500 0.192
O 0.764 0.000 0.166
O 0.794 0.288 0.931
O 0.833 0.289 0.423
O 0.873 0.000 0.645
O 0.894 0.500 0.702

=====

Entry 2:
# TiNi3Sb2P6O24

A PBEsol-optimized structure of TiNi3Sb2P6O24 (SCAN, Alexandria).

Output
The value obtained for the formation energy (no corrections) is -2.10 eV/atom. The calculation puts the total DFT energy (no corrections) at -11.85 eV/atom.

a = 8.3811 Å, b = 8.3811 Å, c = 21.6810 Å
α = 90.00°, β = 90.00°, γ = 120.00°
Space group R3 (No. 146, hexagonal axes)
Unique sites:
Ti 0.0000 0.0000 0.0000
Ni 0.0000 0.0000 0.2137
Ni 0.0000 0.0000 0.5063
Ni 0.0000 0.0000 0.7049
Sb 0.0000 0.0000 0.3645
Sb 0.0000 0.0000 0.8436
P 0.0445 0.6715 0.2723
P 0.0532 0.3824 0.7760
O 0.0270 0.8322 0.9449
O 0.0479 0.8227 0.5477
O 0.0643 0.8689 0.2713
O 0.1413 0.6839 0.3331
O 0.1584 0.4686 0.7167
O 0.1618 0.4880 0.4415
O 0.1637 0.4527 0.8353
O 0.1879 0.4610 0.1058

=====

Entry 3:
# NiP2SeO

A PBEsol-optimized structure of NiP2SeO (SCAN, Alexandria).

Output
The value obtained for the formation energy (no corrections) is 0.27 eV/atom. The calculation puts the total DFT energy (no corrections) at -12.38 eV/atom.

a = 4.534 Å, b = 4.534 Å, c = 3.473 Å
α = 90.00°, β = 90.00°, γ = 90.00°
Space group P4/mmm (No. 123)
Unique sites:
Ni 0.000 0.000 0.000
P 0.000 0.500 0.000
Se 0.500 0.500 0.500
O 0.000 0.000 0.500

=====

Entry 4:
# SiNiPO2

A PBEsol-optimized structure of SiNiPO2 (SCAN, Alexandria).

Output
The value obtained for the formation energy (no corrections) is -0.95 eV/atom. The calculation puts the total DFT energy (no corrections) at -10.76 eV/atom.

a = 3.271 Å, b = 3.271 Å, c = 5.854 Å
α = 90.00°, β = 90.00°, γ = 90.00°
Space group P4/mmm (No. 123)
Unique sites:
Si 0.000 0.000 0.000
Ni 0.500 0.500 0.500
P 0.000 0.000 0.500
O 0.000 0.500 0.000

=====

Which of these has the lowest total DFT energy (no corrections)? NiP2SeO